Entry from Alexandria: a geometry-optimized CaMg30NiO32 structure (PBE with a Hubbard U).

Unit cell a=8.5525 b=8.5525 c=8.5547 alpha=90.00 beta=90.00 gamma=90.00
Last column: nearest neighbours and their distance in Å.
Atoms (fractional coordinates):
Ca1 0.0000 0.0000 0.0000  6 O 2.24-2.25
Mg1 0.0000 0.5000 0.0000  6 O 2.03-2.15
Mg2 0.5000 0.0000 0.0000  6 O 2.03-2.15
Mg3 0.0000 0.0000 0.5000  6 O 2.03-2.16
Mg4 0.0000 0.5000 0.5000  6 O 2.12-2.15
Mg5 0.5000 0.0000 0.5000  6 O 2.12-2.15
Mg6 0.5000 0.5000 0.5000  6 O 2.13
Mg7 0.2535 0.2535 0.0000  6 O 2.11-2.17
Mg8 0.2535 0.7465 0.0000  6 O 2.11-2.17
Mg9 0.7465 0.2535 0.0000  6 O 2.11-2.17
Mg10 0.7465 0.7465 0.0000  6 O 2.11-2.17
Mg11 0.2504 0.2504 0.5000  6 O 2.13-2.14
Mg12 0.2504 0.7496 0.5000  6 O 2.13-2.14
Mg13 0.7496 0.2504 0.5000  6 O 2.13-2.14
Mg14 0.7496 0.7496 0.5000  6 O 2.13-2.14
Mg15 0.0000 0.2530 0.2530  6 O 2.11-2.17
Mg16 0.0000 0.7470 0.2530  6 O 2.11-2.17
Mg17 0.5000 0.2509 0.2500  6 O 2.13-2.15
Mg18 0.5000 0.7491 0.2500  6 O 2.13-2.15
Mg19 0.0000 0.2530 0.7470  6 O 2.11-2.17
Mg20 0.0000 0.7470 0.7470  6 O 2.11-2.17
Mg21 0.5000 0.2509 0.7500  6 O 2.13-2.15
Mg22 0.5000 0.7491 0.7500  6 O 2.13-2.15
Mg23 0.2530 0.0000 0.2530  6 O 2.11-2.17
Mg24 0.2509 0.5000 0.2500  6 O 2.13-2.15
Mg25 0.7470 0.0000 0.2530  6 O 2.11-2.17
Mg26 0.7491 0.5000 0.2500  6 O 2.13-2.15
Mg27 0.2530 0.0000 0.7470  6 O 2.11-2.17
Mg28 0.2509 0.5000 0.7500  6 O 2.13-2.15
Mg29 0.7470 0.0000 0.7470  6 O 2.11-2.17
Mg30 0.7491 0.5000 0.7500  6 O 2.13-2.15
Ni1 0.5000 0.5000 0.0000  6 O 2.12-2.15
O1 0.0000 0.0000 0.2623  5 Mg 2.03-2.17, 1 Ca 2.24
O2 0.0000 0.5000 0.2518  6 Mg 2.11-2.15
O3 0.5000 0.0000 0.2518  6 Mg 2.11-2.15
O4 0.5000 0.5000 0.2514  5 Mg 2.13, 1 Ni 2.15
O5 0.0000 0.0000 0.7377  5 Mg 2.03-2.17, 1 Ca 2.24
O6 0.0000 0.5000 0.7482  6 Mg 2.11-2.15
O7 0.5000 0.0000 0.7482  6 Mg 2.11-2.15
O8 0.5000 0.5000 0.7486  5 Mg 2.13, 1 Ni 2.15
O9 0.2501 0.2501 0.2496  6 Mg 2.14
O10 0.2501 0.7499 0.2496  6 Mg 2.14
O11 0.7499 0.2501 0.2496  6 Mg 2.14
O12 0.7499 0.7499 0.2496  6 Mg 2.14
O13 0.2501 0.2501 0.7504  6 Mg 2.14
O14 0.2501 0.7499 0.7504  6 Mg 2.14
O15 0.7499 0.2501 0.7504  6 Mg 2.14
O16 0.7499 0.7499 0.7504  6 Mg 2.14
O17 0.0000 0.2626 0.0000  5 Mg 2.03-2.17, 1 Ca 2.25
O18 0.0000 0.7374 0.0000  5 Mg 2.03-2.17, 1 Ca 2.25
O19 0.5000 0.2518 0.0000  5 Mg 2.11-2.15, 1 Ni 2.12
O20 0.5000 0.7482 0.0000  5 Mg 2.11-2.15, 1 Ni 2.12
O21 0.0000 0.2523 0.5000  6 Mg 2.11-2.16
O22 0.0000 0.7477 0.5000  6 Mg 2.11-2.16
O23 0.5000 0.2509 0.5000  6 Mg 2.13-2.15
O24 0.5000 0.7491 0.5000  6 Mg 2.13-2.15
O25 0.2626 0.0000 0.0000  5 Mg 2.03-2.17, 1 Ca 2.25
O26 0.2518 0.5000 0.0000  5 Mg 2.11-2.15, 1 Ni 2.12
O27 0.7374 0.0000 0.0000  5 Mg 2.03-2.17, 1 Ca 2.25
O28 0.7482 0.5000 0.0000  5 Mg 2.11-2.15, 1 Ni 2.12
O29 0.2523 0.0000 0.5000  6 Mg 2.11-2.16
O30 0.2509 0.5000 0.5000  6 Mg 2.13-2.15
O31 0.7477 0.0000 0.5000  6 Mg 2.11-2.16
O32 0.7491 0.5000 0.5000  6 Mg 2.13-2.15

Summary:
Uncorrected energy, eV for the cell shown: -380.8
Crystal system: tetragonal
DOS at the Fermi energy, states/eV/f.u.: 0.00